The following is a PBE calculation of an optimized crystal structure of Al2PdPt3, from the Alexandria database.

The space group is Cmmm (No. 65) and the conventional cell measures 4.594, 13.618 and 2.877 Å, with angles of 90.00, 90.00 and 90.00 degrees. Symmetry generates all atoms from Al at (0.000, 0.158, 0.000), Pd at (0.000, 0.500, 0.000), Pt at (0.000, 0.000, 0.500) and Pt at (0.000, 0.318, 0.500).

For the energy of formation from the pure elements, the calculation gives -0.758 eV per atom. The calculation puts the energy above the most stable polymorph in this dataset at 0.0 meV per atom. The density of states at the Fermi level comes out at 4.760 states/eV/cell. The crystal system is orthorhombic.

=====

The following is a PBE calculation of an optimized crystal structure of K2TlHg, from the Alexandria database.

The space group is I-4m2 (No. 119) and the conventional cell measures 5.322, 5.322 and 10.089 Å, with angles of 90.00, 90.00 and 90.00 degrees. Symmetry generates all atoms from K at (0.000, 0.000, 0.000), K at (0.000, 0.500, 0.250), Tl at (0.000, 0.500, 0.750) and Hg at (0.000, 0.000, 0.500).

For the energy of formation from the pure elements, the calculation gives -0.099 eV per atom. The calculation puts the energy above the most stable polymorph in this dataset at 45.9 meV per atom. The density of states at the Fermi level comes out at 4.449 states/eV/cell. The crystal system is tetragonal.

=====

The following is a PBE calculation of an optimized crystal structure of Pm2Er2Sc15, from the Alexandria database.

The space group is R-3m (No. 166, hexagonal axes) and the conventional cell measures 10.6391, 10.6391 and 16.0482 Å, with angles of 90.00, 90.00 and 120.00 degrees. Symmetry generates all atoms from Pm at (0.0000, 0.0000, 0.1617), Er at (0.0000, 0.0000, 0.3910), Sc at (0.0000, 0.3013, 0.5000), Sc at (0.0000, 0.5000, 0.0000) and Sc at (0.0106, 0.5053, 0.6427).

For the energy of formation from the pure elements, the calculation gives 0.240 eV per atom. The density of states at the Fermi level comes out at 128.777 states/eV/cell. The crystal system is trigonal.

=====

The following is a PBE calculation of an optimized crystal structure of YHAu, from the Alexandria database.

The space group is Pnnm (No. 58) and the conventional cell measures 6.556, 8.665 and 3.772 Å, with angles of 90.00, 90.00 and 90.00 degrees. Symmetry generates all atoms from Y at (0.169, 0.250, 0.000), H at (0.164, 0.747, 0.000), Au at (0.000, 0.000, 0.500) and Au at (0.000, 0.500, 0.500).

The calculation puts the energy above the most stable polymorph in this dataset at 249.7 meV per atom. The density of states at the Fermi level comes out at 9.820 states/eV/cell. The crystal system is orthorhombic.

=====

The following is a PBE calculation of an optimized crystal structure of Pr2TmMg5, from the Alexandria database.

The space group is I4/mmm (No. 139) and the conventional cell measures 5.245, 5.245 and 15.856 Å, with angles of 90.00, 90.00 and 90.00 degrees. Symmetry generates all atoms from Pr at (0.000, 0.000, 0.242), Tm at (0.000, 0.000, 0.500), Mg at (0.000, 0.000, 0.000) and Mg at (0.000, 0.500, 0.112).

For the energy of formation from the pure elements, the calculation gives -0.067 eV per atom. The density of states at the Fermi level comes out at 16.210 states/eV/cell. The crystal system is tetragonal.

=====

The following is a PBE calculation of an optimized crystal structure of Ac6GaIr3, from the Alexandria database.

The space group is P2_1/m (No. 11) and the conventional cell measures 12.623, 4.409 and 12.831 Å, with angles of 90.00, 108.84 and 90.00 degrees. Symmetry generates all atoms from Ac at (0.036, 0.250, 0.391), Ac at (0.107, 0.250, 0.943), Ac at (0.216, 0.750, 0.260), Ac at (0.292, 0.750, 0.757), Ac at (0.369, 0.250, 0.533), Ac at (0.424, 0.750, 0.087), Ga at (0.451, 0.250, 0.300), Ir at (0.053, 0.250, 0.164), Ir at (0.192, 0.750, 0.495) and Ir at (0.342, 0.250, 0.917).

For the energy of formation from the pure elements, the calculation gives -0.564 eV per atom. The density of states at the Fermi level comes out at 13.560 states/eV/cell. The crystal system is monoclinic.

=====

The following is a PBE calculation of an optimized crystal structure of Cs2LiFeCl6, from the Alexandria database.

The space group is P-3m1 (No. 164) and the conventional cell measures 7.3130, 7.3130 and 6.0871 Å, with angles of 90.00, 90.00 and 120.00 degrees. Symmetry generates all atoms from Cs at (0.3333, 0.6667, 0.2406), Li at (0.0000, 0.0000, 0.5000), Fe at (0.0000, 0.0000, 0.0000) and Cl at (0.1476, 0.2952, 0.7786).

The density of states at the Fermi level comes out at 9.813 states/eV/cell. The crystal system is trigonal.

=====

The following is a PBE calculation of an optimized crystal structure of Hf3AsP, from the Alexandria database.

The space group is Cmmm (No. 65) and the conventional cell measures 6.533, 14.081 and 4.639 Å, with angles of 90.00, 90.00 and 90.00 degrees. Symmetry generates all atoms from Hf at (0.000, 0.178, 0.000), Hf at (0.216, 0.500, 0.500), Hf at (0.250, 0.250, 0.500), As at (0.000, 0.379, 0.000) and P at (0.000, 0.114, 0.500).

For the energy of formation from the pure elements, the calculation gives -0.292 eV per atom. The calculation puts the energy above the most stable polymorph in this dataset at 0.0 meV per atom. The density of states at the Fermi level comes out at 14.416 states/eV/cell. The crystal system is orthorhombic.

=====

The following is a PBE calculation of an optimized crystal structure of TmFe6Ge6, from the Alexandria database.

The space group is Immm (No. 71) and the conventional cell measures 5.102, 8.134 and 8.820 Å, with angles of 90.00, 90.00 and 90.00 degrees. Symmetry generates all atoms from Tm at (0.000, 0.000, 0.000), Fe at (0.000, 0.249, 0.500), Fe at (0.250, 0.250, 0.250), Ge at (0.000, 0.000, 0.336), Ge at (0.000, 0.346, 0.000) and Ge at (0.000, 0.500, 0.332).

For the energy of formation from the pure elements, the calculation gives -0.282 eV per atom. The density of states at the Fermi level comes out at 17.393 states/eV/cell. The crystal system is orthorhombic.

=====

The following is a PBE calculation of an optimized crystal structure of EuErCdRu, from the Alexandria database.

The space group is F-43m (No. 216) and the conventional cell measures 7.185, 7.185 and 7.185 Å, with angles of 90.00, 90.00 and 90.00 degrees. Symmetry generates all atoms from Eu at (0.000, 0.000, 0.000), Er at (0.000, 0.000, 0.500), Cd at (0.250, 0.250, 0.250) and Ru at (0.250, 0.250, 0.750).

For the energy of formation from the pure elements, the calculation gives -0.116 eV per atom. The density of states at the Fermi level comes out at 16.626 states/eV/cell. The crystal system is cubic.

=====

The following is a PBE calculation of an optimized crystal structure of AcSn8Os2, from the Alexandria database.

The space group is P4/mmm (No. 123) and the conventional cell measures 6.466, 6.466 and 8.282 Å, with angles of 90.00, 90.00 and 90.00 degrees. Symmetry generates all atoms from Ac at (0.000, 0.000, 0.000), Sn at (0.254, 0.254, 0.310) and Os at (0.000, 0.500, 0.500).

For the energy of formation from the pure elements, the calculation gives 0.154 eV per atom. The density of states at the Fermi level comes out at 11.014 states/eV/cell. The crystal system is tetragonal.

=====

The following is a PBE calculation of an optimized crystal structure of Tb4BSb2, from the Alexandria database.

The space group is I4/mmm (No. 139) and the conventional cell measures 4.909, 4.909 and 15.874 Å, with angles of 90.00, 90.00 and 90.00 degrees. Symmetry generates all atoms from Tb at (0.000, 0.000, 0.162), Tb at (0.000, 0.500, 0.000), B at (0.000, 0.000, 0.000) and Sb at (0.000, 0.000, 0.360).

The density of states at the Fermi level comes out at 7.859 states/eV/cell. The crystal system is tetragonal.

=====

The following is a PBE calculation of an optimized crystal structure of Sc6BiAs3P2, from the Alexandria database.

The space group is C2/m (No. 12) and the conventional cell measures 16.959, 3.882 and 7.859 Å, with angles of 90.00, 102.66 and 90.00 degrees. Symmetry generates all atoms from Sc at (0.006, 0.000, 0.274), Sc at (0.170, 0.500, 0.580), Sc at (0.177, 0.500, 0.098), Bi at (0.000, 0.500, 0.000), As at (0.000, 0.500, 0.500), As at (0.162, 0.000, 0.832) and P at (0.169, 0.000, 0.337).

For the energy of formation from the pure elements, the calculation gives -1.256 eV per atom. The density of states at the Fermi level comes out at 3.896 states/eV/cell. The crystal system is monoclinic.

=====

The following is a PBE calculation of an optimized crystal structure of CaPtW2, from the Alexandria database.

The space group is F-43m (No. 216) and the conventional cell measures 6.549, 6.549 and 6.549 Å, with angles of 90.00, 90.00 and 90.00 degrees. Symmetry generates all atoms from Ca at (0.000, 0.000, 0.000), Pt at (0.250, 0.250, 0.250), W at (0.000, 0.000, 0.500) and W at (0.250, 0.250, 0.750).

For the energy of formation from the pure elements, the calculation gives 0.362 eV per atom. The calculation puts the energy above the most stable polymorph in this dataset at 191.3 meV per atom. The density of states at the Fermi level comes out at 3.538 states/eV/cell. The crystal system is cubic.

=====

The following is a PBE calculation of an optimized crystal structure of Pb3SCl, from the Alexandria database.

The space group is Pm-3m (No. 221) and the conventional cell measures 5.604, 5.604 and 5.604 Å, with angles of 90.00, 90.00 and 90.00 degrees. Symmetry generates all atoms from Pb at (0.000, 0.000, 0.500), S at (0.000, 0.000, 0.000) and Cl at (0.500, 0.500, 0.500).

The calculation puts the energy above the most stable polymorph in this dataset at 0.0 meV per atom. The density of states at the Fermi level comes out at 3.753 states/eV/cell. The crystal system is cubic.

=====

The following is a PBE calculation of an optimized crystal structure of Pr3ErSc3, from the Alexandria database.

The space group is R-3 (No. 148, hexagonal axes) and the conventional cell measures 8.4370, 8.4370 and 21.3745 Å, with angles of 90.00, 90.00 and 120.00 degrees. Symmetry generates all atoms from Pr at (0.0425, 0.5958, 0.3830), Er at (0.0000, 0.0000, 0.1568) and Sc at (0.0057, 0.7801, 0.5554).

For the energy of formation from the pure elements, the calculation gives 0.179 eV per atom. The density of states at the Fermi level comes out at 64.328 states/eV/cell. The crystal system is trigonal.

=====

The following is a PBE calculation of an optimized crystal structure of Zn3AgBi, from the Alexandria database.

The space group is Pm-3m (No. 221) and the conventional cell measures 4.906, 4.906 and 4.906 Å, with angles of 90.00, 90.00 and 90.00 degrees. Symmetry generates all atoms from Zn at (0.000, 0.000, 0.500), Ag at (0.000, 0.000, 0.000) and Bi at (0.500, 0.500, 0.500).

For the energy of formation from the pure elements, the calculation gives 0.391 eV per atom. The calculation puts the energy above the most stable polymorph in this dataset at 0.0 meV per atom. The density of states at the Fermi level comes out at 2.634 states/eV/cell. The crystal system is cubic.

=====

The following is a PBE calculation of an optimized crystal structure of Hf2CuI, from the Alexandria database.

The space group is I-42d (No. 122) and the conventional cell measures 5.942, 5.942 and 12.937 Å, with angles of 90.00, 90.00 and 90.00 degrees. Symmetry generates all atoms from Hf at (0.175, 0.250, 0.125), Cu at (0.000, 0.000, 0.000) and I at (0.000, 0.000, 0.500).

The calculation puts the energy above the most stable polymorph in this dataset at 424.1 meV per atom. The density of states at the Fermi level comes out at 16.479 states/eV/cell. The crystal system is tetragonal.

=====

The following is a PBE calculation of an optimized crystal structure of PrEu2Al, from the Alexandria database.

The space group is P4/mmm (No. 123) and the conventional cell measures 4.893, 4.893 and 5.199 Å, with angles of 90.00, 90.00 and 90.00 degrees. Symmetry generates all atoms from Pr at (0.000, 0.000, 0.000), Eu at (0.000, 0.500, 0.500) and Al at (0.500, 0.500, 0.000).

For the energy of formation from the pure elements, the calculation gives -0.077 eV per atom. The calculation puts the energy above the most stable polymorph in this dataset at 0.0 meV per atom. The density of states at the Fermi level comes out at 3.553 states/eV/cell. The crystal system is tetragonal.

=====

The following is a PBE calculation of an optimized crystal structure of Sc2PaCo3, from the Alexandria database.

The space group is P-3m1 (No. 164) and the conventional cell measures 4.5301, 4.5301 and 5.5251 Å, with angles of 90.00, 90.00 and 120.00 degrees. Symmetry generates all atoms from Sc at (0.3333, 0.6667, 0.1468), Pa at (0.0000, 0.0000, 0.5000), Co at (0.0000, 0.0000, 0.0000) and Co at (0.3333, 0.6667, 0.6347).

For the energy of formation from the pure elements, the calculation gives -0.323 eV per atom. The calculation puts the energy above the most stable polymorph in this dataset at 0.0 meV per atom. The density of states at the Fermi level comes out at 5.954 states/eV/cell. The crystal system is trigonal.

=====

The following is a PBE calculation of an optimized crystal structure of RbNa12Sb4, from the Alexandria database.

The space group is Im-3 (No. 204) and the conventional cell measures 12.057, 12.057 and 12.057 Å, with angles of 90.00, 90.00 and 90.00 degrees. Symmetry generates all atoms from Rb at (0.000, 0.000, 0.000), Na at (0.000, 0.255, 0.255) and Sb at (0.250, 0.250, 0.250).

The density of states at the Fermi level comes out at 6.355 states/eV/cell. The crystal system is cubic.

=====

The following is a PBE calculation of an optimized crystal structure of Mg3RhSe, from the Alexandria database.

The space group is Pm-3m (No. 221) and the conventional cell measures 4.894, 4.894 and 4.894 Å, with angles of 90.00, 90.00 and 90.00 degrees. Symmetry generates all atoms from Mg at (0.000, 0.000, 0.500), Rh at (0.000, 0.000, 0.000) and Se at (0.500, 0.500, 0.500).

The calculation puts the energy above the most stable polymorph in this dataset at 0.0 meV per atom. The density of states at the Fermi level comes out at 3.393 states/eV/cell. The crystal system is cubic.

=====

| no. | spin magnetization (μB/cell) | DFT total energy (eV/atom) |
| --- | --- | --- |
| 1 | 0.000 | -5.89 |
| 2 | 0.000 | -1.32 |
| 3 | 0.493 | -5.74 |
| 4 | 0.000 | -4.90 |
| 5 | 0.000 | -2.82 |
| 6 | 0.000 | -5.99 |
| 7 | 0.999 | -3.75 |
| 8 | 0.000 | -8.28 |
| 9 | 23.013 | -6.66 |
| 10 | 27.575 | -6.37 |
| 11 | 0.000 | -5.17 |
| 12 | 0.000 | -5.48 |
| 13 | 0.000 | -6.81 |
| 14 | 0.000 | -8.13 |
| 15 | 0.000 | -3.42 |
| 16 | 0.000 | -5.23 |
| 17 | 0.000 | -1.72 |
| 18 | 0.000 | -5.68 |
| 19 | 14.457 | -7.34 |
| 20 | 0.001 | -7.57 |
| 21 | 0.000 | -2.21 |
| 22 | 0.000 | -3.24 |